# Rb2BiH2

Rb2BiH2 after structural relaxation (PBE, Alexandria).

Cell: 7.9814 7.9814 4.1277 Å, 90.00 90.00 90.00°
With the nearest neighbours (Å) after each atom.
Element x y z (fractional)
H: 0.3245 0.8245 0.0000  2 Rb 2.85, 2 Bi 2.94
H: 0.8245 0.6755 0.0000  2 Rb 2.85, 2 Bi 2.94
H: 0.6755 0.1755 0.0000  2 Rb 2.85, 2 Bi 2.94
H: 0.1755 0.3245 0.0000  2 Rb 2.85, 2 Bi 2.94
Bi: 0.0000 0.0000 0.0000  4 H 2.94
Bi: 0.5000 0.5000 0.0000  4 H 2.94
Rb: 0.1508 0.6508 0.5000  2 H 2.85
Rb: 0.6508 0.8492 0.5000  2 H 2.85
Rb: 0.8492 0.3492 0.5000  2 H 2.85
Rb: 0.3492 0.1508 0.5000  2 H 2.85

Calculated values
- Calculated volume: 26.294 A^3/atom
- Offset from the most stable computed form: 0.102 eV per atom
- Symmetry: P4/mbm, No. 127